Record 1
{"formula": "AlVO3", "functional": "GGA+U", "state": "relaxed", "total_energy_ev_per_atom": -7.67, "lattice_angstrom": [[5.0602, 0.0000, 0.0000], [0.0000, 5.2351, 0.0000], [0.0000, -0.0001, 6.9789]], "species": ["Al", "Al", "Al", "Al", "V", "V", "V", "V", "O", "O", "O", "O", "O", "O", "O", "O", "O", "O", "O", "O"], "fractional_positions": [[0.0000, 0.5000, 0.0000], [0.0000, 0.5000, 0.5000], [0.5000, 0.0000, 0.0000], [0.5000, 0.0000, 0.5000], [0.9913, 0.9415, 0.7500], [0.5087, 0.4415, 0.7500], [0.4912, 0.5585, 0.2500], [0.0087, 0.0585, 0.2500], [0.1112, 0.4375, 0.2500], [0.1682, 0.1742, 0.5535], [0.1682, 0.1742, 0.9465], [0.3318, 0.6742, 0.9465], [0.3318, 0.6742, 0.5535], [0.3888, 0.9375, 0.2500], [0.6112, 0.0625, 0.7500], [0.6682, 0.3258, 0.4465], [0.6682, 0.3258, 0.0535], [0.8318, 0.8258, 0.0535], [0.8318, 0.8258, 0.4465], [0.8888, 0.5625, 0.7500]]}


Record 2
{"formula": "AlVO2", "functional": "GGA+U", "state": "relaxed", "total_energy_ev_per_atom": -7.07, "de_polymorph_ev_per_fu": 0.22, "lattice_angstrom": [[-4.0348, 2.4861, 0.3180], [-2.0725, -2.9703, -3.0730], [-4.3476, -2.7658, 1.9345]], "species": ["Al", "Al", "O", "O", "O", "O", "V", "V"], "fractional_positions": [[0.5000, 0.5000, 0.0000], [0.2500, 0.7500, 0.5000], [0.5463, 0.1250, 0.2500], [0.2037, 0.6250, 0.2500], [0.3750, 0.4537, 0.7500], [0.8750, 0.7963, 0.7500], [0.0000, 0.0000, 0.0000], [0.7500, 0.2500, 0.5000]]}